(1)
## La2YP (PBEsol)

Data for crystalline La2YP at its relaxed geometry.

Unit cell a=3.9254 b=3.9254 c=28.3753 alpha=90.00 beta=90.00 gamma=120.00
Closest atoms and distances in Å follow each position.
Space group R-3m (No. 166, hexagonal axes)
Asymmetric unit:
1 La 0.0000 0.0000 0.2287 [6 per cell]  3 P 2.87
2 Y 0.0000 0.0000 0.0000 [3 per cell]  6 La 3.74, 6 Y 3.93
3 P 0.0000 0.0000 0.5000 [3 per cell]  6 La 2.87

Computed properties:
E_form, eV/atom: -0.592
V, Å³/f.u.: 126.2
Magnetization, μB/atom: 0.168
D(E_F), states/eV per atom: 1.529


(2)
## LaZnP2 (PBEsol)

Data for crystalline LaZnP2 at its relaxed geometry.

Unit cell a=6.7449 b=6.7449 c=6.7449 alpha=90.00 beta=90.00 gamma=90.00
Closest atoms and distances in Å follow each position.
Space group Fm-3m (No. 225)
Asymmetric unit:
1 La 0.0000 0.0000 0.0000 [4 per cell]  8 P 2.92
2 Zn 0.0000 0.0000 0.5000 [4 per cell]  8 P 2.92
3 P 0.2500 0.2500 0.2500 [8 per cell]  4 La 2.92, 4 Zn 2.92

Computed properties:
E_form, eV/atom: -0.414
V, Å³/f.u.: 76.7
Magnetization, μB/atom: 0.000
D(E_F), states/eV per atom: 0.539


The highest V belongs to which entry?
La2YP


magnetization of number 2 (LaZnP2)?
0.000 μB/atom